DFT (GGA+U) results for a geometry-optimized CrPSO2 structure.

Lattice parameters (Å, degrees): 3.6459 3.6459 4.7137 90.00 90.00 90.00
Positions (direct):
Cr 0.0000 0.0000 0.0000
P 0.5000 0.5000 0.0000
S 0.5000 0.5000 0.5000
O 0.0000 0.5000 0.5000
O 0.5000 0.0000 0.5000

Theoretical density   3.90 Mg/m³
Space group   P4/mmm
VASP energy   -26.4 eV per formula unit